Record 1
Below is an optimized crystal structure of Re2SnTeN, with properties calculated at the GGA-PBE level.

Cell: 5.0941 5.7218 5.0941 Å, 90.00 90.00 90.00°
Element x y z (fractional)
Re 0.0000 0.0000 0.5000
Re 0.5000 0.0000 0.0000
Te 0.0000 0.5000 0.0000
Sn 0.0000 0.0000 0.0000
N 0.5000 0.5000 0.5000

Properties
- Uncorrected formation energy: 3.506 eV/atom
- Magnetic moment: 5.75 Bohr magnetons per cell
- Raw total energy: -4.57 eV/atom
- Volume: 148 Å³/cell
- Space group: P4/mmm (123)



Record 2
Below is an optimized crystal structure of TlCdO, with properties calculated at the GGA-PBE level.

Cell: 3.5867 3.5867 5.5187 Å, 90.00 90.00 120.00°
Element x y z (fractional)
Tl 0.0000 0.0000 0.0314
O 0.3333 0.6667 0.4062
Cd 0.6667 0.3333 0.5624

Properties
- Uncorrected formation energy: -0.489 eV/atom
- Energy above the most stable polymorph in this dataset: 75 meV/atom
- Magnetic moment: 0.00 Bohr magnetons per cell
- Raw total energy: -3.24 eV/atom
- Volume: 61 Å³/cell
- Space group: P3m1 (156)



Record 3
Below is an optimized crystal structure of Sn2TeMo, with properties calculated at the GGA-PBE level.

Cell: 5.0366 5.0366 5.0366 Å, 60.00 60.00 60.00°
Element x y z (fractional)
Mo 0.0000 0.0000 0.0000
Te 0.5000 0.5000 0.5000
Sn 0.2500 0.2500 0.2500
Sn 0.7500 0.7500 0.7500

Properties
- Uncorrected formation energy: 0.725 eV/atom
- Energy above the most stable polymorph in this dataset: 0 meV/atom
- Magnetic moment: 0.00 Bohr magnetons per cell
- Raw total energy: -4.77 eV/atom
- Volume: 90 Å³/cell
- Space group: Fm-3m (225)



Record 4
Below is an optimized crystal structure of Bi2HPd9, with properties calculated at the GGA-PBE level.

Cell: 4.1163 4.1163 11.5540 Å, 90.00 90.00 90.00°
Element x y z (fractional)
Bi 0.0000 0.0000 0.3120
Bi 0.0000 0.0000 0.6880
H 0.0000 0.0000 0.0000
Pd 0.5000 0.5000 0.0000
Pd 0.5000 0.5000 0.3266
Pd 0.5000 0.5000 0.6734
Pd 0.5000 0.0000 0.1433
Pd 0.5000 0.0000 0.5000
Pd 0.5000 0.0000 0.8567
Pd 0.0000 0.5000 0.1433
Pd 0.0000 0.5000 0.5000
Pd 0.0000 0.5000 0.8567

Properties
- Magnetic moment: 0.00 Bohr magnetons per cell
- Raw total energy: -4.85 eV/atom
- Volume: 196 Å³/cell
- Space group: P4/mmm (123)



Record 5
Below is an optimized crystal structure of ZrRe2Sb, with properties calculated at the GGA-PBE level.

Cell: 3.4572 4.4202 4.7208 Å, 90.00 90.00 90.00°
Element x y z (fractional)
Re 0.0000 0.0000 0.0000
Re 0.5000 0.5000 0.0000
Sb 0.5000 0.0000 0.5000
Zr 0.0000 0.5000 0.5000

Properties
- Uncorrected formation energy: 0.302 eV/atom
- Magnetic moment: 0.00 Bohr magnetons per cell
- Raw total energy: -9.09 eV/atom
- Volume: 72 Å³/cell
- Space group: Pmmm (47)



Record 6
Below is an optimized crystal structure of InGa2HgOs, with properties calculated at the GGA-PBE level.

Cell: 4.8635 4.8635 5.2563 Å, 90.00 90.00 90.00°
Element x y z (fractional)
Os 0.0000 0.0000 0.0000
Hg 0.5000 0.5000 0.5000
Ga 0.0000 0.5000 0.0000
Ga 0.5000 0.0000 0.0000
In 0.0000 0.0000 0.5000

Properties
- Magnetic moment: 0.00 Bohr magnetons per cell
- Raw total energy: -4.01 eV/atom
- Formation energy from the elements: 0.050 eV per atom
- Volume: 124 Å³/cell
- Space group: P4/mmm (123)



What did the first record say?
Below is an optimized crystal structure of Re2SnTeN, with properties calculated at the GGA-PBE level.

Cell: 5.0941 5.7218 5.0941 Å, 90.00 90.00 90.00°
Element x y z (fractional)
Re 0.0000 0.0000 0.5000
Re 0.5000 0.0000 0.0000
Te 0.0000 0.5000 0.0000
Sn 0.0000 0.0000 0.0000
N 0.5000 0.5000 0.5000

Properties
- Uncorrected formation energy: 3.506 eV/atom
- Magnetic moment: 5.75 Bohr magnetons per cell
- Raw total energy: -4.57 eV/atom
- Volume: 148 Å³/cell
- Space group: P4/mmm (123)



Question: Which of these has the lowest volume?
Answer: TlCdO



Question: Which formula does entry 1 have?
Answer: Re2SnTeN



Question: raw total energy of number 2 (TlCdO)?
Answer: -3.24 eV/atom